PBE with a Hubbard U Li2Mn3F8, optimized geometry; symmetry = Cmce; crystal system = orthorhombic; energy relative to the lowest polymorph listed for this composition = 0.018 eV/atom
1.0
3.2543 -6.0097 0.0000
3.2543 6.0097 0.0000
0.0000 0.0000 8.7334
Li Mn F
4 6 16
Cartesian
3.2543 4.7059 7.7870 Li
3.2543 1.3039 3.4203 Li
3.2543 -1.3039 5.3131 Li
3.2543 -4.7059 0.9464 Li
0.0000 0.0000 4.3667 Mn
1.6271 1.8561 6.5500 Mn
1.6271 -1.8561 2.1833 Mn
3.2543 0.0000 0.0000 Mn
4.8814 1.8561 6.5500 Mn
4.8814 -1.8561 2.1833 Mn
3.2543 5.7449 2.2131 F
1.6178 1.3897 8.6183 F
1.6364 1.3897 4.4818 F
3.2543 3.1655 6.6798 F
3.2543 2.8442 2.3131 F
1.6178 -1.3897 0.1151 F
1.6364 -1.3897 4.2516 F
3.2543 0.2648 6.5798 F
3.2543 -0.2648 2.1536 F
4.8721 1.3897 4.4818 F
4.8907 1.3897 8.6183 F
3.2543 -2.8442 6.4203 F
3.2543 -3.1655 2.0536 F
4.8721 -1.3897 4.2516 F
4.8907 -1.3897 0.1151 F
3.2543 -5.7449 6.5202 F